## Bi2OsRhO8 (PBE)

Data for a relaxed structure of Bi2OsRhO8.

```
data_Bi2OsRhO8
_chemical_formula_sum 'Bi2 Os1 Rh1 O8'
_space_group_name_H-M_alt 'P 1 2/m 1'
_space_group_IT_number 10
_cell_length_a 4.9811
_cell_length_b 6.6230
_cell_length_c 5.0222
_cell_angle_alpha 90.00
_cell_angle_beta 90.44
_cell_angle_gamma 90.00
loop_
_space_group_symop_operation_xyz
'x,y,z'
'-x,-y,-z'
'-x,y,-z'
'x,-y,z'
loop_
_atom_site_label
_atom_site_fract_x
_atom_site_fract_y
_atom_site_fract_z
Bi1 0.0000 0.2451 0.0000
Os1 0.5000 0.5000 0.5000
Rh1 0.5000 0.0000 0.5000
O1 0.2302 0.0000 0.1926
O2 0.2681 0.5000 0.2090
O3 0.3115 0.2602 0.6493
```

Computed properties:
- formation energy from raw total energies (meV per atom) = -924
- density of states at the Fermi level (states/eV/f.u.) = 6.3